The following is a meta-GGA SCAN calculation of a crystal of PHPbS2 relaxed with PBEsol, from Alexandria.

Cell: 5.1859 5.1859 5.3077 Å, 90.00 90.00 90.00°
Last column: nearest neighbours and their distance in Å.
Fractional coordinates of all 5 atoms:
1 Pb 0.0000 0.0000 0.0000  4 S 2.59, 2 P 2.65
2 P 0.0000 0.0000 0.5000  2 Pb 2.65
3 S 0.0000 0.5000 0.0000  2 Pb 2.59
4 S 0.5000 0.0000 0.0000  2 Pb 2.59
5 H 0.5000 0.5000 0.5000  4 P 3.67, 8 S 3.71

Results
VASP energy ... -101.84 eV/f.u.
Total moment ... 2.615 μB/f.u.